[1]
A plane-wave DFT calculation with meta-GGA SCAN was carried out for SnGeTe2I at its PBEsol-relaxed geometry.

abc: 5.6390 5.6390 5.6802
angles: 90.00 90.00 90.00
Space group P4/mmm (No. 123)
Unique sites:
Sn1 0.0000 0.0000 0.0000 x1
Ge1 0.5000 0.5000 0.5000 x1
Te1 0.0000 0.5000 0.0000 x2
I1 0.0000 0.0000 0.5000 x1

E_tot = -2.3980 Ry per atom
formation energy (no corrections) = 301 kJ/mol of formula units

---

[2]
A plane-wave DFT calculation with meta-GGA SCAN was carried out for Ta2TlAg at its PBEsol-relaxed geometry.

abc: 3.4896 3.4896 6.1729
angles: 90.00 90.00 90.00
Space group P4mm (No. 99)
Unique sites:
Ta1 0.0000 0.0000 0.0000 x1
Ta2 0.5000 0.5000 0.2028 x1
Tl1 0.0000 0.0000 0.4891 x1
Ag1 0.5000 0.5000 0.7341 x1

E_tot = -4.3246 Ry per atom
energy of formation = 1.5 eV/f.u.

---

[3]
A plane-wave DFT calculation with meta-GGA SCAN was carried out for In2FeHg at its PBEsol-relaxed geometry.

abc: 6.8601 6.8601 6.8601
angles: 90.00 90.00 90.00
Space group F-43m (No. 216)
Unique sites:
In1 0.0000 0.0000 0.0000 x4
In2 0.2500 0.2500 0.2500 x4
Fe1 0.2500 0.2500 0.7500 x4
Hg1 0.0000 0.0000 0.5000 x4

E_tot = -2.7794 Ry per atom
energy of formation = 1.8 eV/f.u.

---

[4]
A plane-wave DFT calculation with meta-GGA SCAN was carried out for LaTlMo2 at its PBEsol-relaxed geometry.

abc: 6.2206 9.5172 2.9532
angles: 90.00 114.58 90.00
Space group C2/m (No. 12)
Unique sites:
La1 0.0000 0.0000 0.0000 x2
Tl1 0.0000 0.5000 0.0000 x2
Mo1 0.2500 0.2500 0.5000 x4

E_tot = -3.3474 Ry per atom
energy of formation = 3.1 eV/f.u.

---

[5]
A plane-wave DFT calculation with meta-GGA SCAN was carried out for Sr3LiPd at its PBEsol-relaxed geometry.

abc: 5.8956 5.8956 5.8956
angles: 90.00 90.00 90.00
Space group Pm-3m (No. 221)
Unique sites:
Sr1 0.0000 0.0000 0.5000 x3
Li1 0.5000 0.5000 0.5000 x1
Pd1 0.0000 0.0000 0.0000 x1

E_tot = -1.5192 Ry per atom
energy of formation = -1.4 eV/f.u.

---

[6]
A plane-wave DFT calculation with meta-GGA SCAN was carried out for SrLaBi2O at its PBEsol-relaxed geometry.

abc: 6.4808 6.4808 4.1669
angles: 90.00 90.00 90.00
Space group P4/mmm (No. 123)
Unique sites:
Sr1 0.0000 0.0000 0.0000 x1
La1 0.5000 0.5000 0.5000 x1
Bi1 0.0000 0.5000 0.5000 x2
O1 0.5000 0.5000 0.0000 x1

E_tot = -3.4427 Ry per atom
formation energy (no corrections) = -524 kJ/mol of formula units

---

[7]
A plane-wave DFT calculation with meta-GGA SCAN was carried out for InReHg2 at its PBEsol-relaxed geometry.

abc: 2.8789 5.0818 10.9839
angles: 90.00 90.00 90.00
Space group Cmmm (No. 65)
Unique sites:
In1 0.0000 0.0000 0.0000 x2
Re1 0.0000 0.0000 0.5000 x2
Hg1 0.0000 0.5000 0.2742 x4

E_tot = -4.3725 Ry per atom
energy of formation = 2.9 eV/f.u.

---

[8]
A plane-wave DFT calculation with meta-GGA SCAN was carried out for Y3Zn11 at its PBEsol-relaxed geometry.

abc: 4.2968 8.7316 12.6816
angles: 90.00 90.00 90.00
Space group Immm (No. 71)
Unique sites:
Y1 0.0000 0.0000 0.0000 x2
Y2 0.0000 0.0000 0.2938 x4
Zn1 0.0000 0.1836 0.5000 x4
Zn2 0.0000 0.2826 0.1391 x8
Zn3 0.0000 0.3604 0.3423 x8
Zn4 0.0000 0.5000 0.0000 x2

E_tot = -1.2511 Ry per atom
energy of formation = -6.1 eV/f.u.

---

Number 1: magnetization 0.0 μB per formula unit, mass density 5.27 g/cm³. Number 2: magnetization 0.0 μB per formula unit, mass density 14.89 g/cm³. Number 3: magnetization 2.9 μB per formula unit, mass density 10.00 g/cm³. Number 4: magnetization 0.0 μB per formula unit, mass density 11.18 g/cm³. Number 5: magnetization 0.0 μB per formula unit, mass density 3.05 g/cm³. Number 6: magnetization 0.1 μB per formula unit, mass density 6.27 g/cm³. Number 7: magnetization 0.0 μB per formula unit, mass density 14.51 g/cm³. Number 8: magnetization 0.0 μB per formula unit, mass density 6.88 g/cm³.